10
Lattice="3.263 0.000 0.000 0.000 4.847 -1.909 0.000 -0.144 7.747" Properties=species:S:1:pos:R:3 comment="ScAlO3 | the Alexandria database | PBE | optimized geometry" spacegroup=P2_1/m raw_formation_energy_ev_per_atom=-3.2714 dft_energy_ry_per_atom=-0.6072 n_ef_per_ev_cell=0.000 pbc="T T T"
Sc 0.816 1.052 0.921
Sc 2.447 3.651 4.917
Al 0.816 0.589 4.890
Al 2.447 4.114 0.948
O 0.816 0.270 6.724
O 2.447 4.434 -0.886
O 0.816 0.153 2.963
O 2.447 4.551 2.875
O 0.816 2.357 4.790
O 2.447 2.347 1.048